Entry 1:
12
Lattice="3.833 0.000 0.000 0.000 3.833 0.000 -1.916 -1.916 10.840" Properties=species:S:1:pos:R:3 comment="Cu2Re PBE relaxed" relative_energy_ev_per_fu=0.35 vol_a3_per_atom=13.27 magmom_total_mub_per_cell=0.00 e_form_ev_per_fu=0.92 total_energy_ev_per_cell=-78.89 pbc="T T T"
Re 0.000 0.000 1.921
Re 1.916 1.916 8.919
Re 0.000 1.916 7.340
Re 0.000 1.916 3.499
Cu 0.000 0.000 5.487
Cu 1.916 1.916 5.353
Cu 1.916 0.000 0.067
Cu 1.916 0.000 10.773
Cu 0.000 0.000 9.113
Cu 1.916 1.916 1.726
Cu 1.916 0.000 3.694
Cu 1.916 0.000 7.146

=====

Entry 2:
4
Lattice="-2.504 2.718 -4.980 3.062 -0.015 -5.393 -3.013 -2.738 4.678" Properties=species:S:1:pos:R:3 comment="KMn2Zn PBE relaxed" vol_a3_per_atom=21.09 magmom_total_mub_per_cell=7.43 e_form_ev_per_fu=3.23 total_energy_ev_per_cell=-17.48 pbc="T T T"
K 0.167 -0.687 -3.006
Mn 0.533 2.583 -9.913
Mn -2.620 0.661 -2.726
Zn 0.301 1.461 -5.608

=====

Entry 3:
5
Lattice="4.601 0.000 0.000 0.000 4.601 0.000 0.000 0.000 4.601" Properties=species:S:1:pos:R:3 comment="InBrF3 PBE relaxed" relative_energy_ev_per_fu=3.92 vol_a3_per_atom=19.48 magmom_total_mub_per_cell=0.00 formation_energy_uncorrected_ev_per_atom=-0.828 total_energy_ev_per_cell=-14.17 pbc="T T T"
F 0.000 2.300 0.000
F 0.000 0.000 2.300
F 2.300 0.000 0.000
Br 0.000 0.000 0.000
In 2.300 2.300 2.300